MgTcPb2: optimized geometry, PBE.

```
4
Lattice="-1.834 2.663 4.584 1.834 -2.663 4.584 1.834 2.663 -4.584" Properties=species:S:1:pos:R:3 pbc="T T T"
Mg 0.000 0.000 0.000
Tc 0.000 0.000 4.584
Pb 1.834 0.000 2.418
Pb 0.000 2.663 2.165
```

## Properties
Its density of states at the Fermi level is 3.8 states/eV/f.u. The energy of formation is 0.459 eV/atom. As for the symmetry: No. 71.

---

Mg2TcPb: optimized geometry, PBE.

```
4
Lattice="3.115 0.000 0.000 0.000 3.115 0.000 0.000 0.000 8.983" Properties=species:S:1:pos:R:3 pbc="T T T"
Mg 0.000 0.000 0.000
Mg 1.558 1.558 2.383
Tc 1.558 1.558 7.193
Pb 0.000 0.000 5.154
```

## Properties
Its density of states at the Fermi level is 2.5 states/eV/f.u. The energy of formation is 0.380 eV/atom. As for the symmetry: No. 99.

---

Mg2TcPb: optimized geometry, PBE.

```
4
Lattice="5.025 -1.499 0.000 5.025 1.499 0.000 -0.705 0.000 5.280" Properties=species:S:1:pos:R:3 pbc="T T T"
Mg 0.000 0.000 0.000
Mg 1.880 0.000 3.970
Tc 4.714 0.000 2.788
Pb 7.453 0.000 1.488
```

## Properties
Its density of states at the Fermi level is 2.7 states/eV/f.u. The energy of formation is 0.317 eV/atom. As for the symmetry: No. 8.

---

Mg2TcPb: optimized geometry, PBE.

```
4
Lattice="-1.752 2.277 4.878 1.752 -2.277 4.878 1.752 2.277 -4.878" Properties=species:S:1:pos:R:3 pbc="T T T"
Mg 0.000 0.000 2.219
Mg 0.000 0.000 7.536
Tc 1.752 0.000 0.000
Pb 0.000 2.277 0.000
```

## Properties
Its density of states at the Fermi level is 2.1 states/eV/f.u. The energy of formation is 0.232 eV/atom. As for the symmetry: No. 71.

---

MgTcPb2: optimized geometry, PBE.

```
4
Lattice="1.615 0.932 10.623 -1.615 0.932 10.623 0.000 -1.865 10.623" Properties=species:S:1:pos:R:3 pbc="T T T"
Mg 0.000 0.000 0.000
Tc 0.000 0.000 23.314
Pb 0.000 0.000 7.806
Pb 0.000 0.000 14.888
```

## Properties
Its density of states at the Fermi level is 4.5 states/eV/f.u. The energy of formation is 0.405 eV/atom. As for the symmetry: No. 160.

---

MgTcPb2: optimized geometry, PBE.

```
4
Lattice="3.536 0.000 0.000 0.000 4.571 0.000 0.000 0.000 5.473" Properties=species:S:1:pos:R:3 pbc="T T T"
Mg 0.000 0.000 0.000
Tc 1.768 0.000 2.737
Pb 0.000 2.286 2.737
Pb 1.768 2.286 0.000
```

## Properties
Its density of states at the Fermi level is 3.0 states/eV/f.u. The energy of formation is 0.520 eV/atom. As for the symmetry: No. 47.

---

MgTcPb2: optimized geometry, PBE.

```
4
Lattice="3.589 0.000 0.000 0.000 4.599 0.000 -1.777 0.000 5.347" Properties=species:S:1:pos:R:3 pbc="T T T"
Mg 0.000 0.000 0.000
Tc 1.811 2.299 3.830
Pb 0.021 0.000 2.957
Pb 1.795 2.299 0.820
```

## Properties
Its density of states at the Fermi level is 2.6 states/eV/f.u. The energy of formation is 0.371 eV/atom. As for the symmetry: No. 6.

---

MgTcPb2: optimized geometry, PBE.

```
4
Lattice="-2.118 2.118 4.992 2.118 -2.118 4.992 2.118 2.118 -4.992" Properties=species:S:1:pos:R:3 pbc="T T T"
Mg 0.000 0.000 0.000
Tc 0.000 2.118 2.496
Pb 2.118 0.000 2.496
Pb 0.000 0.000 4.992
```

## Properties
Its density of states at the Fermi level is 3.0 states/eV/f.u. The energy of formation is 0.495 eV/atom. As for the symmetry: No. 119.

---

Mg2TcPb: optimized geometry, PBE.

```
4
Lattice="3.591 0.000 0.000 0.000 3.591 0.000 0.000 0.000 6.093" Properties=species:S:1:pos:R:3 pbc="T T T"
Mg 0.000 0.000 0.000
Mg 1.795 1.795 1.578
Tc 1.795 1.795 4.743
Pb 0.000 0.000 3.298
```

## Properties
Its density of states at the Fermi level is 3.5 states/eV/f.u. The energy of formation is 0.227 eV/atom. As for the symmetry: No. 99.

---

Mg2TcPb: optimized geometry, PBE.

```
4
Lattice="2.891 -4.421 0.000 2.891 4.421 0.000 0.000 0.000 3.128" Properties=species:S:1:pos:R:3 pbc="T T T"
Mg 1.446 2.211 0.000
Mg 1.446 -2.211 0.000
Tc 0.000 0.000 1.564
Pb 2.891 0.000 1.564
```

## Properties
Its density of states at the Fermi level is 2.8 states/eV/f.u. The energy of formation is 0.350 eV/atom. As for the symmetry: No. 65.

---

MgTcPb: optimized geometry, PBE.

```
3
Lattice="-1.743 1.743 4.736 1.743 -1.743 4.736 1.743 1.743 -4.736" Properties=species:S:1:pos:R:3 pbc="T T T"
Mg 0.000 0.000 0.000
Tc 0.000 0.000 6.150
Pb 0.000 0.000 2.940
```

## Properties
Its density of states at the Fermi level is 1.9 states/eV/f.u. The energy relative to the lowest polymorph listed for this composition comes out at 48 meV/atom. The energy of formation is 0.347 eV/atom. As for the symmetry: No. 107.

---

Mg2TcPb: optimized geometry, PBE.

```
4
Lattice="2.985 0.000 0.000 0.000 4.922 0.000 0.000 0.000 5.386" Properties=species:S:1:pos:R:3 pbc="T T T"
Mg 0.000 0.000 0.000
Mg 0.000 2.461 1.652
Tc 1.492 0.000 2.576
Pb 1.492 2.461 4.201
```

## Properties
Its density of states at the Fermi level is 2.0 states/eV/f.u. The energy of formation is 0.299 eV/atom. As for the symmetry: No. 25.

---

Mg2TcPb: optimized geometry, PBE.

```
4
Lattice="0.000 3.380 3.380 3.380 0.000 3.380 3.380 3.380 0.000" Properties=species:S:1:pos:R:3 pbc="T T T"
Mg 0.000 0.000 0.000
Mg 1.690 1.690 1.690
Tc 3.380 3.380 3.380
Pb 5.069 5.069 5.069
```

## Properties
Its density of states at the Fermi level is 3.6 states/eV/f.u. The energy of formation is 0.382 eV/atom. As for the symmetry: No. 216.

---

Mg2TcPb: optimized geometry, PBE.

```
8
Lattice="-3.991 3.991 2.785 3.991 -3.991 2.785 3.991 3.991 -2.785" Properties=species:S:1:pos:R:3 pbc="T T T"
Mg 5.986 1.653 -0.696
Mg 1.653 1.995 0.696
Mg -1.995 2.338 2.089
Mg 2.338 1.995 3.482
Tc 0.000 0.000 0.000
Tc 0.000 3.991 1.393
Pb 3.991 0.000 1.393
Pb 0.000 0.000 2.785
```

## Properties
Its density of states at the Fermi level is 0.4 states/eV/f.u. The energy of formation is 0.562 eV/atom. As for the symmetry: No. 122.

---

MgTcPb2: optimized geometry, PBE.

```
4
Lattice="4.749 -1.735 0.000 4.749 1.735 0.000 -1.259 0.000 5.393" Properties=species:S:1:pos:R:3 pbc="T T T"
Mg 0.000 0.000 0.000
Tc 4.119 0.000 2.696
Pb 1.332 0.000 3.937
Pb 6.906 0.000 1.456
```

## Properties
Its density of states at the Fermi level is 3.1 states/eV/f.u. The energy of formation is 0.450 eV/atom. As for the symmetry: No. 12.

---

MgTcPb2: optimized geometry, PBE.

```
4
Lattice="-1.576 2.294 6.740 1.576 -2.294 6.740 1.576 2.294 -6.740" Properties=species:S:1:pos:R:3 pbc="T T T"
Mg 0.000 0.000 0.000
Tc 1.576 0.000 2.394
Pb 0.000 0.000 4.968
Pb 0.000 2.294 2.305
```

## Properties
Its density of states at the Fermi level is 1.8 states/eV/f.u. The energy of formation is 0.324 eV/atom. As for the symmetry: No. 44.

---

Mg2TcPb: optimized geometry, PBE.

```
4
Lattice="4.266 0.000 0.000 0.000 4.266 0.000 0.000 0.000 4.230" Properties=species:S:1:pos:R:3 pbc="T T T"
Mg 0.000 2.133 0.000
Mg 2.133 0.000 0.000
Tc 0.000 0.000 2.115
Pb 2.133 2.133 2.115
```

## Properties
Its density of states at the Fermi level is 3.5 states/eV/f.u. The energy of formation is 0.297 eV/atom. As for the symmetry: No. 123.

---

MgV2TcPb: optimized geometry, PBE.

```
5
Lattice="4.583 0.000 0.000 0.000 4.583 0.000 0.000 0.000 4.613" Properties=species:S:1:pos:R:3 pbc="T T T"
Mg 0.000 0.000 0.000
V 0.000 2.292 0.000
V 2.292 0.000 0.000
Tc 0.000 0.000 2.307
Pb 2.292 2.292 2.307
```

## Properties
Its density of states at the Fermi level is 10.3 states/eV/f.u. The energy of formation is 1.640 eV/atom. As for the symmetry: No. 123.

---

MgTe2Pb: optimized geometry, PBE.

```
4
Lattice="-1.804 2.690 7.181 1.804 -2.690 7.181 1.804 2.690 -7.181" Properties=species:S:1:pos:R:3 pbc="T T T"
Mg 0.000 0.000 0.000
Te 1.804 0.000 2.189
Te 0.000 2.690 4.992
Pb 0.000 0.000 7.181
```

## Properties
Its density of states at the Fermi level is 1.1 states/eV/f.u. The value obtained for the uncorrected formation energy is -0.214 eV per atom. As for the symmetry: No. 71.

---

Mg2TePb: optimized geometry, PBE.

```
4
Lattice="-2.473 2.473 4.264 2.473 -2.473 4.264 2.473 2.473 -4.264" Properties=species:S:1:pos:R:3 pbc="T T T"
Mg 2.473 0.000 2.132
Mg 0.000 2.473 2.132
Te 0.000 0.000 0.000
Pb 0.000 0.000 4.264
```

## Properties
Its density of states at the Fermi level is 1.8 states/eV/f.u. The energy relative to the lowest polymorph listed for this composition comes out at 227 meV/atom. The value obtained for the uncorrected formation energy is -0.108 eV per atom. As for the symmetry: No. 139.